First-principles (PBE-GGA) data for Pu2TcN4 after structural relaxation, as listed in the Alexandria database.

a = 5.8779 Å, b = 5.5815 Å, c = 6.5973 Å
α = 90.00°, β = 108.50°, γ = 90.00°
Fractional coordinates of all 14 atoms:
Pu 0.3075 0.2500 0.9510
Tc 0.2369 0.7500 0.1919
N 0.5327 0.4988 0.7562
Pu 0.7759 0.7500 0.5674
Pu 0.2241 0.2500 0.4326
N 0.4673 0.9988 0.2438
Pu 0.6925 0.7500 0.0490
N 0.4673 0.5012 0.2438
N 0.0417 0.7500 0.3673
N 0.9583 0.2500 0.6327
Tc 0.7631 0.2500 0.8081
N 0.5327 0.0012 0.7562
N 0.9591 0.2500 0.0883
N 0.0409 0.7500 0.9117

space-group type	P2_1/m
raw formation energy	-4.38	eV/f.u.
energy above the most stable polymorph in this dataset	145.7	meV/atom
Fermi-level density of states	25.6	states/eV per cell
raw total energy	-10.96	eV/atom